# PmPr6Dy2Sc

A geometry-optimized PmPr6Dy2Sc structure (PBE, Alexandria).

As for the formation energy: 209.9 meV/atom. The value obtained for the density of states at the Fermi level is 13.67 states/eV/f.u. Its total moment is 0.00 μB/f.u.

It has space group C2/m (No. 12), with a = 10.333 Å, b = 7.580 Å, c = 9.071 Å, α = 90.00°, β = 101.74° and γ = 90.00°. The asymmetric unit holds Pm at (0.000, 0.000, 0.000), Pr at (0.130, 0.282, 0.780), Pr at (0.160, 0.000, 0.447), Dy at (0.132, 0.500, 0.136) and Sc at (0.000, 0.500, 0.500).